Below is a relaxed structure of Fe4PtBr, with properties calculated at the PBE level.

a = 4.964 Å, b = 4.964 Å, c = 4.964 Å
α = 60.00°, β = 60.00°, γ = 60.00°
Site moments in Bohr magnetons follow the coordinates.
Atoms (fractional coordinates):
Fe: 0.376 0.376 0.872  2.70
Fe: 0.376 0.872 0.376  2.70
Fe: 0.872 0.376 0.376  2.70
Fe: 0.376 0.376 0.376  2.70
Br: 0.000 0.000 0.000  0.06
Pt: 0.750 0.750 0.750  0.18

Properties
N(E_F): 6.5 states/eV/cell
SG: F-43m (216)
uncorrected formation energy: 0.5088 eV/atom
E_tot: -6.419 eV per atom